Material: ZnRe2Sb
Method: DFT, GGA-PBE
State: optimized geometry

Cell lengths 9.3014, 9.3014, 9.3014 Å; angles 18.31, 18.31, 18.31 degrees
Closest atoms and distances in Å follow each position.
Positions (direct):
Sb1 0.5052 0.5052 0.5052  3 Re 2.87, 6 Sb 2.96, 3 Zn 3.16
Re1 0.9971 0.9971 0.9971  9 Re 2.66-2.96, 3 Zn 2.73
Zn1 0.7416 0.7416 0.7416  3 Re 2.73, 6 Zn 2.96
Re2 0.2560 0.2560 0.2560  9 Re 2.66-2.96, 3 Sb 2.87

Symmetry ... R3m (160)
Offset from the most stable computed form ... 0.136 eV per atom

=====

Material: ZnReSb2
Method: DFT, GGA-PBE
State: optimized geometry

Cell lengths 3.1046, 3.1046, 10.2742 Å; angles 90.00, 90.00, 117.06 degrees
Closest atoms and distances in Å follow each position.
Positions (direct):
Re1 0.5000 0.5000 0.7500  4 Sb 2.75
Sb1 0.0000 0.0000 0.9660  2 Re 2.75
Sb2 0.0000 0.0000 0.5340  2 Re 2.75
Zn1 0.5000 0.5000 0.2500  6 Zn 3.10-3.24, 4 Sb 3.34

Symmetry ... Cmmm (65)

=====

Material: ZnReSb2
Method: DFT, GGA-PBE
State: optimized geometry

Cell lengths 4.7051, 4.7051, 5.4794 Å; angles 82.91, 82.91, 42.04 degrees
Closest atoms and distances in Å follow each position.
Positions (direct):
Zn1 0.7500 0.7500 0.7500  2 Sb 2.63
Re1 0.2500 0.2500 0.2500  6 Sb 2.78-2.86
Sb1 0.9762 0.9762 0.0202  1 Zn 2.63, 3 Re 2.78-2.86
Sb2 0.5238 0.5238 0.4798  1 Zn 2.63, 3 Re 2.78-2.86

Symmetry ... C2/m (12)

=====

Material: ZnRe2Sb
Method: DFT, GGA-PBE
State: optimized geometry

Cell lengths 5.2571, 5.2571, 2.9714 Å; angles 75.93, 75.93, 114.74 degrees
Closest atoms and distances in Å follow each position.
Positions (direct):
Sb1 0.5000 0.0000 0.5000  4 Re 2.69, 2 Zn 2.83, 2 Sb 2.97
Re1 0.5000 0.5000 0.0000  2 Zn 2.69, 2 Sb 2.69, 4 Re 2.83-2.97
Zn1 0.0000 0.5000 0.5000  4 Re 2.69, 2 Sb 2.83, 2 Zn 2.97
Re2 0.0000 0.0000 0.0000  2 Sb 2.69, 2 Zn 2.69, 4 Re 2.83-2.97

Symmetry ... C2/m (12)
Offset from the most stable computed form ... 0.461 eV per atom

=====

Material: Zn2ReSb
Method: DFT, GGA-PBE
State: optimized geometry

Cell lengths 5.6708, 5.6708, 3.1785 Å; angles 71.30, 71.30, 118.11 degrees
Closest atoms and distances in Å follow each position.
Positions (direct):
Sb1 0.0000 0.5000 0.5000  4 Re 2.65-2.92, 4 Zn 2.77
Zn1 0.0000 0.0000 0.0000  4 Zn 2.65-2.92, 2 Re 2.77, 2 Sb 2.77
Zn2 0.5000 0.5000 0.0000  4 Zn 2.65-2.92, 2 Sb 2.77, 2 Re 2.77
Re1 0.5000 0.0000 0.5000  4 Sb 2.65-2.92, 4 Zn 2.77

Symmetry ... C2/m (12)

=====

Material: Zn2ReSb
Method: DFT, GGA-PBE
State: optimized geometry

Cell lengths 5.0346, 5.0346, 5.0346 Å; angles 138.20, 127.76, 69.03 degrees
Closest atoms and distances in Å follow each position.
Positions (direct):
Sb1 0.2472 0.7472 0.5000  4 Re 2.80-2.99, 8 Zn 2.81-2.98
Re1 0.5058 0.5058 0.0000  8 Zn 2.77-3.01, 4 Sb 2.80-2.99
Zn1 0.9873 0.9873 0.0000  2 Zn 2.61, 2 Sb 2.81, 4 Re 2.86
Zn2 0.7597 0.2597 0.5000  2 Zn 2.61, 2 Re 2.77, 4 Sb 2.85

Symmetry ... Imm2 (44)

=====

no.,formation energy from raw total energies (eV per atom)
1,0.376
2,0.586
3,0.509
4,0.701
5,0.489
6,0.407